La2NiSb4Au3 | PBE-GGA | optimized geometry

Cell and atoms, written as extended XYZ:
```
10
Lattice="4.712 0.000 0.000 0.000 4.712 0.000 0.000 0.000 11.135" Properties=species:S:1:pos:R:3 pbc="T T T"
La 0.000 2.356 2.502
La 2.356 0.000 8.633
Ni 2.356 2.356 0.000
Sb 0.000 0.000 5.567
Sb 0.000 2.356 9.817
Sb 2.356 0.000 1.318
Sb 2.356 2.356 5.567
Au 0.000 0.000 0.000
Au 0.000 2.356 7.174
Au 2.356 0.000 3.961
```

E   -4.738 eV/atom
Total moment   0.00 μB/f.u.
Formation energy (no corrections)   -542 meV per atom